Density functional theory data (PBE) for a relaxed structure of PuFeAs.

Lattice parameters (Å, degrees): 3.7673 4.1522 4.1522 120.00 90.00 90.00
Last column: nearest neighbours and their distance in Å.
Atoms (fractional coordinates):
Fe: 0.1675 0.3333 0.6667  3 As 2.40
Pu: 0.6664 0.6667 0.3333  6 Fe 3.05, 6 As 3.05
As: 0.1662 0.0000 0.0000  3 Fe 2.40

Properties
Mass density = 11.06 Mg/m³
DFT total energy = -29.16 eV for the cell shown
Fermi-level density of states = 1.97 states/eV per atom
ΔH_f (0 K) = -1.71 eV/f.u.